Density functional theory data (meta-GGA SCAN) for V2NiP2O10 at its PBEsol-relaxed geometry.

Values from the calculation:
- DFT total energy (eV/cell) = -341.63
- magnetic moment (μB per atom) = 0.267
- volume (Å³ per cell) = 333.7
- formation energy (no corrections) (eV per atom) = -2.4370

Cell: 6.3140 7.3067 7.2324 Å, 90.00 90.00 90.55°
Closest atoms and distances in Å follow each position.
Atoms (fractional coordinates):
V  0.2529  0.8344  0.7241  1 O 1.66
O  0.2272  0.6160  0.6617  1 V 1.66
O  0.7469  0.0484  0.5078  1 P 1.53
P  0.7483  0.3733  0.8760  4 O 1.53-1.56
O  0.9404  0.3762  0.7423  1 P 1.55
O  0.0596  0.6238  0.2577  1 P 1.55
P  0.2517  0.1267  0.3760  4 O 1.53-1.56
V  0.7471  0.1656  0.2759  1 O 1.66
Ni  0.0000  0.5000  0.5000  6 O 2.01-2.07
O  0.2272  0.1160  0.8383  1 V 1.66
O  0.0596  0.1238  0.2423  1 P 1.55
O  0.2531  0.4516  0.0078  1 P 1.53
O  0.7744  0.2035  0.0034  1 P 1.56
O  0.2256  0.2965  0.5034  1 P 1.56
O  0.2256  0.7965  0.9966  1 P 1.56
P  0.2517  0.6267  0.1240  4 O 1.53-1.56
Ni  0.0000  0.0000  0.0000  6 O 2.01-2.07
O  0.9404  0.8762  0.7577  1 P 1.55
V  0.7471  0.6656  0.2241  1 O 1.66
O  0.7469  0.5484  0.9922  1 P 1.53
O  0.4501  0.6416  0.2447  1 P 1.53
O  0.5499  0.3584  0.7553  1 P 1.53
O  0.7728  0.3840  0.3383  1 V 1.66
O  0.2531  0.9516  0.4922  1 P 1.53
O  0.7728  0.8840  0.1617  1 V 1.66
V  0.2529  0.3344  0.7759  1 O 1.66
O  0.5499  0.8584  0.7447  1 P 1.53
P  0.7483  0.8733  0.6240  4 O 1.53-1.56
O  0.4501  0.1416  0.2553  1 P 1.53
O  0.7744  0.7035  0.4966  1 P 1.56

=====

Density functional theory data (meta-GGA SCAN) for V3Ni2P6WO24 at its PBEsol-relaxed geometry.

Values from the calculation:
- DFT total energy (eV/cell) = -450.30
- magnetic moment (μB per atom) = 0.298
- volume (Å³ per cell) = 433.0
- density of states at the Fermi level (states/eV/f.u.) = 15.76
- formation energy (no corrections) (eV per atom) = -2.3294

Cell: 8.4145 8.4145 8.4145 Å, 61.23 61.23 61.23°
Closest atoms and distances in Å follow each position.
Atoms (fractional coordinates):
P  0.9563  0.5457  0.2524  4 O 1.51-1.57
O  0.1186  0.4986  0.3165  1 P 1.51
O  0.9070  0.0626  0.2633  1 P 1.59
W  0.1385  0.1385  0.1385  6 O 1.92-1.97
O  0.8798  0.4978  0.6860  1 P 1.52
O  0.8166  0.0002  0.6197  1 P 1.52
O  0.4459  0.5859  0.2397  1 P 1.54
O  0.4978  0.6860  0.8798  1 P 1.52
O  0.4986  0.3165  0.1186  1 P 1.51
P  0.5457  0.2524  0.9563  4 O 1.51-1.57
V  0.6394  0.6394  0.6394  6 O 1.91-2.00
O  0.5859  0.2397  0.4459  1 P 1.54
V  0.3594  0.3594  0.3594  6 O 1.90-1.99
O  0.6197  0.8166  0.0002  1 P 1.52
O  0.0896  0.9414  0.7397  1 P 1.54
P  0.0410  0.4666  0.7428  4 O 1.52-1.59
O  0.6860  0.8798  0.4978  1 P 1.52
O  0.7397  0.0896  0.9414  1 P 1.54
O  0.2633  0.9070  0.0626  1 P 1.59
P  0.4666  0.7428  0.0410  4 O 1.52-1.59
P  0.2524  0.9563  0.5457  4 O 1.51-1.57
O  0.1835  0.0027  0.3805  1 P 1.57
O  0.7600  0.5529  0.4116  1 P 1.54
O  0.4116  0.7600  0.5529  1 P 1.54
V  0.8601  0.8601  0.8601  6 O 1.90-1.99
O  0.0027  0.3805  0.1835  1 P 1.57
P  0.7428  0.0410  0.4666  4 O 1.52-1.59
O  0.2397  0.4459  0.5859  1 P 1.54
O  0.5529  0.4116  0.7600  1 P 1.54
O  0.3805  0.1835  0.0027  1 P 1.57
O  0.0002  0.6197  0.8166  1 P 1.52
O  0.0626  0.2633  0.9070  1 P 1.59
Ni  0.9983  0.9983  0.9983  6 O 2.14-2.23
O  0.3165  0.1186  0.4986  1 P 1.51
O  0.9414  0.7397  0.0896  1 P 1.54
Ni  0.4994  0.4994  0.4994  6 O 2.15

=====

Density functional theory data (meta-GGA SCAN) for YNiPO2 at its PBEsol-relaxed geometry.

Values from the calculation:
- DFT total energy (eV/cell) = -69.54
- magnetic moment (μB per atom) = 0.609
- volume (Å³ per cell) = 95.2
- density of states at the Fermi level (states/eV/f.u.) = 3.44
- formation energy (no corrections) (eV per atom) = -0.5320

Cell: 4.0450 4.0450 5.8181 Å, 90.00 90.00 90.00°
Closest atoms and distances in Å follow each position.
Atoms (fractional coordinates):
Y  0.0000  0.0000  0.0000  4 O 2.02
Ni  0.5000  0.5000  0.5000  4 P 2.86
O  0.0000  0.5000  0.0000  2 Y 2.02
P  0.0000  0.0000  0.5000  4 Ni 2.86, 2 Y 2.91
O  0.5000  0.0000  0.0000  2 Y 2.02

=====

Density functional theory data (meta-GGA SCAN) for ZnNiP2O7 at its PBEsol-relaxed geometry.

Values from the calculation:
- DFT total energy (eV/cell) = -471.78
- energy relative to the lowest polymorph listed for this composition (meV/atom) = 0.0
- magnetic moment (μB per atom) = 0.184
- volume (Å³ per cell) = 471.0
- density of states at the Fermi level (states/eV/f.u.) = 0.00
- formation energy (no corrections) (eV per atom) = -2.1673

Cell: 6.9385 8.2749 8.8500 Å, 90.00 112.04 90.00°
Closest atoms and distances in Å follow each position.
Atoms (fractional coordinates):
O  0.8442  0.8921  0.4000  1 P 1.53
Ni  0.1181  0.4244  0.8907  6 O 2.01-2.16
O  0.4192  0.2600  0.2986  1 P 1.54
O  0.8665  0.5901  0.3417  1 P 1.54
O  0.4287  0.6124  0.3227  1 P 1.50
O  0.9003  0.5888  0.8816  1 P 1.54
O  0.5997  0.0888  0.6184  1 P 1.54
Ni  0.6181  0.0756  0.3907  6 O 2.01-2.16
O  0.8212  0.2640  0.4526  1 P 1.54
P  0.5599  0.2276  0.0327  4 O 1.53-1.59
O  0.0808  0.7600  0.2014  1 P 1.54
O  0.4003  0.9112  0.3816  1 P 1.54
P  0.4401  0.7724  0.9673  4 O 1.53-1.59
O  0.0713  0.1124  0.1773  1 P 1.50
O  0.1433  0.3302  0.3976  2 P 1.59-1.60
O  0.0997  0.4112  0.1184  1 P 1.54
O  0.9287  0.8876  0.8227  1 P 1.50
O  0.3212  0.2360  0.9526  1 P 1.54
Zn  0.8766  0.9448  0.1810  5 O 1.95-2.08
O  0.1335  0.4099  0.6583  1 P 1.54
P  0.0599  0.2724  0.5327  4 O 1.53-1.59
O  0.9192  0.2400  0.7986  1 P 1.54
Ni  0.8819  0.5756  0.1093  6 O 2.01-2.16
O  0.3567  0.8302  0.1024  2 P 1.59-1.60
O  0.1558  0.1079  0.6000  1 P 1.53
O  0.3442  0.6079  0.9000  1 P 1.53
O  0.6558  0.3921  0.1000  1 P 1.53
Zn  0.1234  0.0552  0.8190  5 O 1.95-2.08
O  0.8567  0.6698  0.6024  2 P 1.59-1.60
O  0.5808  0.7400  0.7014  1 P 1.54
P  0.6805  0.2302  0.7387  4 O 1.50-1.60
P  0.8195  0.7302  0.7613  4 O 1.50-1.60
O  0.3665  0.9099  0.8417  1 P 1.54
O  0.5713  0.3876  0.6773  1 P 1.50
P  0.3195  0.7698  0.2613  4 O 1.50-1.60
O  0.6788  0.7640  0.0474  1 P 1.54
O  0.1788  0.7360  0.5474  1 P 1.54
O  0.6433  0.1698  0.8976  2 P 1.59-1.60
Zn  0.6234  0.4448  0.3190  5 O 1.95-2.08
Zn  0.3766  0.5552  0.6810  5 O 1.95-2.08
Ni  0.3819  0.9244  0.6093  6 O 2.01-2.16
O  0.6335  0.0901  0.1583  1 P 1.54
P  0.9401  0.7276  0.4673  4 O 1.53-1.59
P  0.1805  0.2698  0.2387  4 O 1.50-1.60

=====

Density functional theory data (meta-GGA SCAN) for ZnNiP2O7 at its PBEsol-relaxed geometry.

Values from the calculation:
- DFT total energy (eV/cell) = -235.55
- energy relative to the lowest polymorph listed for this composition (meV/atom) = 15.2
- magnetic moment (μB per atom) = 0.180
- volume (Å³ per cell) = 238.0
- density of states at the Fermi level (states/eV/f.u.) = 0.00
- formation energy (no corrections) (eV per atom) = -2.1520

Cell: 5.5098 6.2926 7.2868 Å, 82.60 87.62 71.81°
Closest atoms and distances in Å follow each position.
Atoms (fractional coordinates):
O  0.6072  0.6442  0.4293  1 P 1.53
P  0.8113  0.3136  0.9047  4 O 1.51-1.60
P  0.2331  0.1958  0.6093  4 O 1.53-1.58
O  0.9075  0.3075  0.1013  1 P 1.54
O  0.6412  0.5528  0.8335  1 P 1.54
O  0.0646  0.2796  0.7818  2 P 1.58-1.60
O  0.6054  0.0479  0.3268  1 P 1.54
Zn  0.6780  0.3445  0.3409  5 O 1.99-2.15
O  0.6951  0.1302  0.8846  1 P 1.51
O  0.0623  0.2076  0.4436  1 P 1.54
O  0.3946  0.9521  0.6732  1 P 1.54
O  0.3588  0.4472  0.1665  1 P 1.54
P  0.1887  0.6864  0.0953  4 O 1.51-1.60
O  0.0925  0.6925  0.8987  1 P 1.54
O  0.3049  0.8698  0.1154  1 P 1.51
O  0.3928  0.3558  0.5707  1 P 1.53
Zn  0.3220  0.6555  0.6591  5 O 1.99-2.15
P  0.7669  0.8042  0.3907  4 O 1.53-1.58
Ni  0.7392  0.8396  0.8000  5 O 1.94-2.05
Ni  0.2608  0.1604  0.2000  5 O 1.94-2.05
O  0.9377  0.7924  0.5564  1 P 1.54
O  0.9354  0.7204  0.2182  2 P 1.58-1.60

=====

Density functional theory data (meta-GGA SCAN) for ZrNiP2O at its PBEsol-relaxed geometry.

Values from the calculation:
- DFT total energy (eV/cell) = -76.05
- magnetic moment (μB per atom) = 0.000
- volume (Å³ per cell) = 70.7
- density of states at the Fermi level (states/eV/f.u.) = 2.76
- formation energy (no corrections) (eV per atom) = -0.4289

Cell: 3.6016 4.4310 4.4310 Å, 90.00 90.00 90.00°
Closest atoms and distances in Å follow each position.
Atoms (fractional coordinates):
P  0.0000  0.5000  0.0000  2 Ni 2.22
P  0.0000  0.0000  0.5000  2 Ni 2.22
O  0.5000  0.0000  0.0000  2 Ni 1.80
Ni  0.0000  0.0000  0.0000  2 O 1.80
Zr  0.5000  0.5000  0.5000  8 P 2.86, 4 O 3.13

=====

Density functional theory data (meta-GGA SCAN) for Zr4NiP6O24 at its PBEsol-relaxed geometry.

Values from the calculation:
- DFT total energy (eV/cell) = -906.20
- magnetic moment (μB per atom) = 0.059
- volume (Å³ per cell) = 996.5
- density of states at the Fermi level (states/eV/f.u.) = 0.00
- formation energy (no corrections) (eV per atom) = -2.9197

Cell: 8.8995 8.9923 12.4523 Å, 90.00 90.55 90.00°
Closest atoms and distances in Å follow each position.
Atoms (fractional coordinates):
O  0.6720  0.7775  0.0356  1 P 1.53
O  0.8224  0.2398  0.2715  1 P 1.54
O  0.6722  0.9945  0.1666  1 P 1.53
O  0.3201  0.4888  0.8144  1 P 1.59
O  0.6272  0.9625  0.8387  1 P 1.54
O  0.6606  0.1721  0.9702  1 P 1.54
O  0.3342  0.2654  0.2267  1 P 1.53
Zr  0.7566  0.1926  0.1174  6 O 1.99-2.22
P  0.5320  0.0010  0.4903  4 O 1.52-1.55
P  0.3830  0.6461  0.8527  4 O 1.52-1.59
O  0.3224  0.7602  0.7715  1 P 1.54
P  0.6097  0.8398  0.1401  4 O 1.52-1.59
O  0.1272  0.0375  0.3387  1 P 1.54
P  0.1097  0.1602  0.6401  4 O 1.52-1.59
P  0.8830  0.3539  0.3527  4 O 1.52-1.59
O  0.6394  0.9094  0.4201  1 P 1.54
O  0.5812  0.3603  0.1541  1 P 1.57
O  0.8201  0.5112  0.3144  1 P 1.59
O  0.9354  0.8321  0.3477  1 P 1.54
O  0.4354  0.1679  0.8477  1 P 1.54
O  0.3235  0.6735  0.9651  1 P 1.52
O  0.3554  0.3282  0.0329  1 P 1.54
O  0.8449  0.4119  0.0769  1 P 1.58
O  0.5608  0.6111  0.4471  1 P 1.53
O  0.0608  0.3889  0.9471  1 P 1.53
O  0.1606  0.8279  0.4702  1 P 1.54
O  0.1722  0.0055  0.6666  1 P 1.53
P  0.6039  0.1301  0.8565  4 O 1.53-1.54
O  0.6878  0.2220  0.7725  1 P 1.53
Zr  0.7497  0.7200  0.3933  6 O 2.00-2.21
P  0.0320  0.9990  0.9903  4 O 1.52-1.55
O  0.9395  0.1551  0.6413  1 P 1.52
Zr  0.2467  0.2267  0.3763  6 O 2.06-2.10
O  0.3788  0.4004  0.4307  1 P 1.53
Zr  0.2497  0.2800  0.8933  6 O 2.00-2.21
O  0.9494  0.1063  0.0669  1 P 1.55
O  0.5551  0.6438  0.8495  1 P 1.53
Zr  0.7467  0.7733  0.8763  6 O 2.06-2.10
Zr  0.7456  0.2786  0.6198  6 O 2.02-2.10
P  0.9050  0.6265  0.6471  4 O 1.52-1.57
O  0.0551  0.3562  0.3495  1 P 1.53
Ni  0.7206  0.5314  0.1729  4 O 1.94-1.99
O  0.3449  0.5881  0.5769  1 P 1.58
O  0.8235  0.3265  0.4651  1 P 1.52
Zr  0.2566  0.8074  0.6174  6 O 1.99-2.22
O  0.9193  0.9159  0.9194  1 P 1.53
O  0.4395  0.8449  0.1413  1 P 1.52
O  0.8554  0.6718  0.5329  1 P 1.54
Ni  0.2206  0.4686  0.6729  4 O 1.94-1.99
O  0.8653  0.4653  0.6711  1 P 1.52
P  0.4649  0.5002  0.5089  4 O 1.53-1.58
Zr  0.2456  0.7214  0.1198  6 O 2.02-2.10
O  0.1261  0.8934  0.0592  1 P 1.52
O  0.1677  0.2745  0.7284  1 P 1.59
O  0.3653  0.5347  0.1711  1 P 1.52
O  0.6261  0.1066  0.5592  1 P 1.52
O  0.1720  0.2225  0.5356  1 P 1.53
O  0.0812  0.6397  0.6541  1 P 1.57
O  0.5592  0.4117  0.5900  1 P 1.53
O  0.8788  0.5996  0.9307  1 P 1.53
P  0.1039  0.8699  0.3565  4 O 1.53-1.54
P  0.4050  0.3735  0.1471  4 O 1.52-1.57
O  0.1394  0.0906  0.9201  1 P 1.54
O  0.0592  0.5883  0.0900  1 P 1.53
O  0.8342  0.7346  0.7267  1 P 1.53
O  0.6677  0.7255  0.2284  1 P 1.59
O  0.4494  0.8937  0.5669  1 P 1.55
P  0.9649  0.4998  0.0089  4 O 1.53-1.58
O  0.4193  0.0841  0.4194  1 P 1.53
O  0.1878  0.7780  0.2725  1 P 1.53

=====

Density functional theory data (meta-GGA SCAN) for V2Ni2PbO8 at its PBEsol-relaxed geometry.

Values from the calculation:
- DFT total energy (eV/cell) = -878.51
- magnetic moment (μB per atom) = 0.307
- volume (Å³ per cell) = 605.5
- density of states at the Fermi level (states/eV/f.u.) = 0.00
- formation energy (no corrections) (eV per atom) = -2.0517

Cell: 8.2571 9.5064 9.5064 Å, 79.13 64.26 64.26°
Closest atoms and distances in Å follow each position.
Atoms (fractional coordinates):
Ni  0.7659  0.9952  0.3381  6 O 1.98-2.05
O  0.9831  0.6705  0.6771  1 V 1.71
O  0.8322  0.6581  0.0208  1 V 1.74
O  0.1943  0.3578  0.6560  1 V 1.73
O  0.4831  0.6771  0.6705  1 V 1.71
O  0.7755  0.4956  0.8347  1 V 1.75
Ni  0.3540  0.4952  0.1619  6 O 1.98-2.05
O  0.9036  0.8295  0.1771  1 V 1.71
Pb  0.0023  0.5000  0.5000  4 O 2.44-2.46
Ni  0.5992  0.6619  0.0048  6 O 1.98-2.05
V  0.3828  0.1809  0.6577  4 O 1.71-1.75
Pb  0.2523  0.0000  0.0000  4 O 2.44-2.46
O  0.3602  0.6653  0.9956  1 V 1.75
V  0.2215  0.8191  0.3423  4 O 1.71-1.75
O  0.1004  0.8578  0.8440  1 V 1.73
O  0.6004  0.8440  0.8578  1 V 1.73
O  0.3022  0.1560  0.1422  1 V 1.73
O  0.5211  0.0044  0.3347  1 V 1.75
Ni  0.0111  0.5048  0.8381  6 O 1.98-2.05
O  0.2082  0.6422  0.3440  1 V 1.73
O  0.6943  0.6560  0.3578  1 V 1.73
O  0.8022  0.1422  0.1560  1 V 1.73
O  0.0211  0.3347  0.0044  1 V 1.75
O  0.5111  0.3419  0.9792  1 V 1.74
O  0.2755  0.8347  0.4956  1 V 1.75
O  0.0111  0.9792  0.3419  1 V 1.74
Pb  0.5023  0.5000  0.5000  4 O 2.44-2.46
Ni  0.0992  0.0048  0.6619  6 O 1.98-2.05
O  0.1030  0.1581  0.4792  1 V 1.74
O  0.8308  0.3229  0.3295  1 V 1.71
O  0.2403  0.5208  0.8419  1 V 1.74
Ni  0.5111  0.8381  0.5048  6 O 1.98-2.05
O  0.6030  0.4792  0.1581  1 V 1.74
Ni  0.2659  0.3381  0.9952  6 O 1.98-2.05
O  0.7082  0.3440  0.6422  1 V 1.73
V  0.2906  0.6809  0.8423  4 O 1.71-1.75
O  0.3322  0.0208  0.6581  1 V 1.74
V  0.7906  0.8423  0.6809  4 O 1.71-1.75
O  0.4103  0.8229  0.1705  1 V 1.71
O  0.4036  0.1771  0.8295  1 V 1.71
O  0.1058  0.5044  0.1653  1 V 1.75
O  0.6058  0.1653  0.5044  1 V 1.75
V  0.7215  0.3423  0.8191  4 O 1.71-1.75
O  0.9103  0.1705  0.8229  1 V 1.71
V  0.3137  0.1577  0.3191  4 O 1.71-1.75
O  0.8602  0.9956  0.6653  1 V 1.75
V  0.8828  0.6577  0.1809  4 O 1.71-1.75
Ni  0.8540  0.1619  0.4952  6 O 1.98-2.05
V  0.8137  0.3191  0.1577  4 O 1.71-1.75
O  0.3308  0.3295  0.3229  1 V 1.71
Pb  0.7523  0.0000  0.0000  4 O 2.44-2.46
O  0.7403  0.8419  0.5208  1 V 1.74